{"formula": "EuGeO2", "functional": "GGA-PBE", "state": "optimized geometry", "n_ef_per_ev_cell": 7.03, "total_energy_ev_per_atom": -8.031, "m_tot_mub_per_cell": 6.43, "lattice": [[-1.5800, -1.2154, 3.0218], [-1.2387, -3.3981, 0.1540], [4.7091, -3.4988, 3.2235]], "species": ["O", "O", "Ge", "Eu"], "frac_coords": [[0.1046, 0.1046, 0.6863], [0.8954, 0.8954, 0.3137], [0.0000, 0.0000, 0.0000], [0.5000, 0.5000, 0.5000]]}

***

{"formula": "SrEuZrGeO6", "functional": "GGA-PBE", "state": "optimized geometry", "total_energy_ev_per_atom": -8.202, "m_tot_mub_per_cell": 7.00, "lattice": [[-4.7751, -3.0158, -0.5024], [-3.0848, -1.2122, 4.6004], [-5.0282, 2.5011, 0.7816]], "species": ["Ge", "O", "O", "O", "O", "O", "O", "Zr", "Eu", "Sr"], "frac_coords": [[0.0000, 0.0000, 0.0000], [0.7612, 0.7612, 0.2388], [0.7612, 0.2388, 0.7612], [0.2388, 0.7612, 0.2388], [0.2388, 0.7612, 0.7612], [0.7612, 0.2388, 0.2388], [0.2388, 0.2388, 0.7612], [0.5000, 0.5000, 0.5000], [0.2500, 0.2500, 0.2500], [0.7500, 0.7500, 0.7500]]}

***

{"formula": "EuGeP2", "functional": "GGA-PBE", "state": "optimized geometry", "n_ef_per_ev_cell": 4.98, "total_energy_ev_per_atom": -6.743, "formation_energy_ev_per_atom": -0.315, "m_tot_mub_per_cell": 6.77, "lattice": [[3.8429, 0.0000, 0.0000], [1.9215, 3.3281, 0.0000], [1.9215, 1.1094, 6.7008]], "species": ["P", "P", "Ge", "Eu"], "frac_coords": [[0.2638, 0.2638, 0.2087], [0.7362, 0.7362, 0.7913], [0.0000, 0.0000, 0.0000], [0.5000, 0.5000, 0.5000]]}